Entry 1:
Ta2FeRe2Se8: relaxed, PBE. Values from VASP.

Its space group is P3m1 (156). The calculation puts the uncorrected formation energy at -0.328 eV per atom. The value obtained for the mass density is 8.7 Mg/m³. The calculation puts the total energy at -89.2 eV per cell. The density of states at the Fermi level is 0.7278 states/eV/atom.

Cell and atoms, written as Quantum ESPRESSO input:
```
&SYSTEM
  ibrav = 0, nat = 13, ntyp = 4
/
ATOMIC_SPECIES
Re 186.21 Re.upf
Fe 55.84 Fe.upf
Se 78.96 Se.upf
Ta 180.95 Ta.upf
ATOMIC_POSITIONS crystal
Re 0.667 0.333 0.626
Re 0.667 0.333 0.126
Fe 0.667 0.333 0.746
Se 0.000 0.000 0.689
Se 0.000 0.000 0.186
Se 0.333 0.667 0.808
Se 0.333 0.667 0.311
Se 0.333 0.667 0.937
Se 0.333 0.667 0.439
Se 0.000 0.000 0.567
Se 0.000 0.000 0.067
Ta 0.667 0.333 0.873
Ta 0.667 0.333 0.375
CELL_PARAMETERS angstrom
-0.661 3.257 -1.014
-1.637 -1.325 2.764
19.092 8.692 15.477
```

Entry 2:
BaScTa2: relaxed, PBE. Values from VASP.

Its space group is Cm (8). The value obtained for the energy above the most stable polymorph in this dataset is 0.782 eV/f.u. The value obtained for the mass density is 8.3 Mg/m³. The calculation puts the energy of formation from the pure elements at 0.627 eV per atom. The calculation puts the total energy at -29.5 eV per cell. The density of states at the Fermi level is 1.0471 states/eV/atom.

Cell and atoms, written as Quantum ESPRESSO input:
```
&SYSTEM
  ibrav = 0, nat = 4, ntyp = 3
/
ATOMIC_SPECIES
Ba 137.33 Ba.upf
Sc 44.96 Sc.upf
Ta 180.95 Ta.upf
ATOMIC_POSITIONS crystal
Ba 0.500 0.500 0.480
Sc 0.737 0.737 0.831
Ta 0.000 0.000 0.028
Ta 0.263 0.263 0.162
CELL_PARAMETERS angstrom
-0.802 4.360 -2.229
-3.363 2.634 -2.525
-2.780 3.063 6.200
```

Entry 3:
Ac2SbHF: relaxed, PBE. Values from VASP.

Its space group is I-4m2 (119). The value obtained for the mass density is 8.1 Mg/m³. The calculation puts the total energy at -26.0 eV per cell. The density of states at the Fermi level is 0.5040 states/eV/atom.

Cell and atoms, written as Quantum ESPRESSO input:
```
&SYSTEM
  ibrav = 0, nat = 5, ntyp = 4
/
ATOMIC_SPECIES
Ac 227.00 Ac.upf
Sb 121.76 Sb.upf
H 1.01 H.upf
F 19.00 F.upf
ATOMIC_POSITIONS crystal
Ac 0.638 0.638 0.275
Ac 0.362 0.362 0.725
Sb 0.000 0.000 0.000
H 0.750 0.250 0.500
F 0.250 0.750 0.500
CELL_PARAMETERS angstrom
-2.903 0.485 3.067
-0.846 -4.164 -0.143
6.624 0.714 3.211
```

Entry 4:
Li2GeBiI: relaxed, PBE. Values from VASP.

Its space group is P4/mmm (123). The calculation puts the uncorrected formation energy at -0.007 eV per atom. The value obtained for the mass density is 4.8 Mg/m³. The calculation puts the total energy at -13.9 eV per cell. The density of states at the Fermi level is 0.0419 states/eV/atom.

Cell and atoms, written as Quantum ESPRESSO input:
```
&SYSTEM
  ibrav = 0, nat = 5, ntyp = 4
/
ATOMIC_SPECIES
I 126.90 I.upf
Ge 72.64 Ge.upf
Bi 208.98 Bi.upf
Li 6.94 Li.upf
ATOMIC_POSITIONS crystal
I 0.000 0.000 0.000
Ge 0.000 0.500 0.000
Bi 0.500 0.500 0.500
Li 0.000 0.000 0.500
Li 0.500 0.000 0.000
CELL_PARAMETERS angstrom
-0.028 3.393 3.629
-5.850 -0.402 0.330
0.439 -3.613 3.381
```

Entry 5:
YbInNi4: relaxed, PBE. Values from VASP.

Its space group is F-43m (216). The value obtained for the mass density is 10.2 Mg/m³. The calculation puts the energy of formation from the pure elements at -0.353 eV per atom. The calculation puts the total energy at -29.5 eV per cell. The density of states at the Fermi level is 0.7876 states/eV/atom.

Cell and atoms, written as Quantum ESPRESSO input:
```
&SYSTEM
  ibrav = 0, nat = 6, ntyp = 3
/
ATOMIC_SPECIES
Ni 58.69 Ni.upf
Yb 173.04 Yb.upf
In 114.82 In.upf
ATOMIC_POSITIONS crystal
Ni 0.624 0.624 0.127
Ni 0.624 0.127 0.624
Ni 0.624 0.624 0.624
Ni 0.127 0.624 0.624
Yb 0.000 0.000 0.000
In 0.250 0.250 0.250
CELL_PARAMETERS angstrom
-4.130 1.406 -2.300
-2.088 -2.959 -3.348
-4.274 -2.243 1.015
```

Entry 6:
SrHoAgHg: relaxed, PBE. Values from VASP.

Its space group is F-43m (216). The value obtained for the mass density is 8.5 Mg/m³. The calculation puts the energy of formation from the pure elements at -0.320 eV per atom. The calculation puts the total energy at -10.7 eV per cell. The density of states at the Fermi level is 0.7108 states/eV/atom.

Cell and atoms, written as Quantum ESPRESSO input:
```
&SYSTEM
  ibrav = 0, nat = 4, ntyp = 4
/
ATOMIC_SPECIES
Sr 87.62 Sr.upf
Hg 200.59 Hg.upf
Ag 107.87 Ag.upf
Ho 164.93 Ho.upf
ATOMIC_POSITIONS crystal
Sr 0.500 0.500 0.500
Hg 0.750 0.750 0.750
Ag 0.250 0.250 0.250
Ho 0.000 0.000 0.000
CELL_PARAMETERS angstrom
5.367 0.000 0.000
2.684 4.648 0.000
2.684 1.549 4.382
```

> Number 4 is which compound?

Li2GeBiI

> Which of these has the highest mass density?

YbInNi4